Ac2Cu2Ni | GGA-PBE | optimized geometry

Lattice parameters (Å, degrees): 4.187 5.955 10.628 84.05 78.64 69.42
Atoms (fractional coordinates):
Ac 0.702 0.233 0.363
Ac 0.089 0.706 0.116
Ac 0.911 0.294 0.884
Ac 0.298 0.767 0.637
Cu 0.618 0.881 0.883
Cu 0.382 0.119 0.117
Cu 0.038 0.338 0.586
Cu 0.962 0.662 0.414
Ni 0.428 0.831 0.314
Ni 0.572 0.169 0.686

- Space-group type: C2/m (12)
- Uncorrected energy: -4.655 eV per atom
- N(E_F): 0.5235 states/eV per atom